CaPmTe2: relaxed, GGA-PBE.

E_form (uncorrected): -1.51 eV per atom
Total energy: -4.77 eV/atom
Size of the total moment: 0.00 μB per cell
Space-group type: R-3m, No. 166
V: 127 Å³ per cell

abc: 4.4399 4.4399 7.8854
angles: 90.02 106.33 119.99
Atoms (fractional coordinates):
Ca1 0.0000 0.5000 0.5000
Pm1 0.0000 0.0000 0.0000
Te1 0.4980 0.2489 0.7470
Te2 0.5020 0.7511 0.2531